No. 1
# Na2WO2F4

A geometry-optimized Na2WO2F4 structure (PBEsol, Alexandria via LeMat-Bulk).

Unit cell a=5.041 b=18.420 c=5.429 alpha=90.00 beta=90.00 gamma=90.00
Space group Pbcn (No. 60)
Symmetry-distinct sites (fractional):
1 Na 0.000 0.051 0.250
2 Na 0.000 0.271 0.750
3 W 0.000 0.393 0.250
4 O 0.229 0.452 0.114
5 F 0.200 0.306 0.105
6 F 0.211 0.374 0.541

Results
Energy ... -233.1 eV per cell
Total moment ... 0.00 μB per atom

---

No. 2
# NaZnO2F

A geometry-optimized NaZnO2F structure (PBEsol, Alexandria via LeMat-Bulk).

Unit cell a=3.755 b=3.755 c=4.262 alpha=90.00 beta=90.00 gamma=90.00
Space group P4/mmm (No. 123)
Symmetry-distinct sites (fractional):
1 Na 0.000 0.000 0.000
2 Zn 0.500 0.500 0.500
3 O 0.000 0.500 0.500
4 F 0.500 0.500 0.000

Results
Energy ... -20.9 eV per cell
Total moment ... 0.28 μB per atom

---

No. 3
# Na3PF

A geometry-optimized Na3PF structure (PBEsol, Alexandria via LeMat-Bulk).

Unit cell a=4.489 b=4.489 c=4.489 alpha=90.00 beta=90.00 gamma=90.00
Space group Pm-3m (No. 221)
Symmetry-distinct sites (fractional):
1 Na 0.000 0.000 0.500
2 P 0.500 0.500 0.500
3 F 0.000 0.000 0.000

Results
Energy ... -17.5 eV per cell
Total moment ... 0.20 μB per atom

---

No. 4
# NaPS2F

A geometry-optimized NaPS2F structure (PBEsol, Alexandria via LeMat-Bulk).

Unit cell a=4.887 b=4.887 c=3.775 alpha=90.00 beta=90.00 gamma=90.00
Space group P4/mmm (No. 123)
Symmetry-distinct sites (fractional):
1 Na 0.000 0.000 0.000
2 P 0.500 0.500 0.000
3 S 0.000 0.500 0.500
4 F 0.500 0.500 0.500

Results
Energy ... -16.9 eV per cell
Total moment ... 0.00 μB per atom

---

No. 5
# Na2PdF6

A geometry-optimized Na2PdF6 structure (PBEsol, Alexandria via LeMat-Bulk).

Unit cell a=9.2318 b=9.2318 c=5.1716 alpha=90.00 beta=90.00 gamma=120.00
Space group P321 (No. 150)
Symmetry-distinct sites (fractional):
1 Na 0.0000 0.3698 0.0000
2 Na 0.0000 0.7059 0.5000
3 Pd 0.0000 0.0000 0.0000
4 Pd 0.3333 0.6667 0.5068
5 F 0.0927 0.1992 0.7944
6 F 0.1377 0.5898 0.7178
7 F 0.2198 0.4700 0.2964

Results
Energy ... -116.8 eV per cell
Total moment ... 0.00 μB per atom

---

No. 6
# NaPdF3

A geometry-optimized NaPdF3 structure (PBEsol, Alexandria via LeMat-Bulk).

Unit cell a=6.648 b=6.772 c=7.366 alpha=116.95 beta=105.84 gamma=91.61
Space group P-1 (No. 2)
Symmetry-distinct sites (fractional):
1 Na 0.000 0.000 0.000
2 Na 0.000 0.000 0.500
3 Na 0.491 0.257 0.491
4 Pd 0.000 0.500 0.000
5 Pd 0.000 0.500 0.500
6 Pd 0.474 0.243 0.965
7 F 0.113 0.221 0.367
8 F 0.117 0.632 0.348
9 F 0.167 0.221 0.918
10 F 0.222 0.749 0.008
11 F 0.396 0.075 0.653
12 F 0.466 0.604 0.724

Results
Energy ... -88.7 eV per cell
Total moment ... 0.10 μB per atom

---

No. 7
# NaPrF4

A geometry-optimized NaPrF4 structure (PBEsol, Alexandria via LeMat-Bulk).

Unit cell a=6.104 b=7.123 c=7.131 alpha=62.96 beta=64.79 gamma=64.81
Space group P1 (No. 1)
Symmetry-distinct sites (fractional):
1 Na 0.000 0.000 0.000
2 Na 0.004 0.478 0.486
3 Na 0.668 0.430 0.219
4 Pr 0.334 0.500 0.820
5 Pr 0.340 0.999 0.312
6 Pr 0.674 0.922 0.723
7 F 0.091 0.243 0.059
8 F 0.093 0.733 0.547
9 F 0.311 0.889 0.699
10 F 0.319 0.380 0.200
11 F 0.374 0.281 0.630
12 F 0.383 0.819 0.084
13 F 0.595 0.624 0.445
14 F 0.616 0.130 0.939
15 F 0.703 0.543 0.815
16 F 0.706 0.005 0.346
17 F 0.928 0.709 0.974
18 F 0.932 0.167 0.509

Results
Energy ... -109.2 eV per cell
Total moment ... 0.01 μB per atom

---

No. 8
# Na2PtF6

A geometry-optimized Na2PtF6 structure (PBEsol, Alexandria via LeMat-Bulk).

Unit cell a=9.3366 b=9.3366 c=5.1451 alpha=90.00 beta=90.00 gamma=120.00
Space group P321 (No. 150)
Symmetry-distinct sites (fractional):
1 Na 0.0000 0.2969 0.0000
2 Na 0.0000 0.6320 0.5000
3 Pt 0.0000 0.0000 0.5000
4 Pt 0.3333 0.6667 0.0054
5 F 0.0950 0.8933 0.2931
6 F 0.1353 0.5491 0.2188
7 F 0.2204 0.7526 0.7924

Results
Energy ... -120.5 eV per cell
Total moment ... 0.00 μB per atom

---

No. 9
# Rb2NaRhF6

A geometry-optimized Rb2NaRhF6 structure (PBEsol, Alexandria via LeMat-Bulk).

Unit cell a=8.455 b=8.455 c=8.455 alpha=90.00 beta=90.00 gamma=90.00
Space group Fm-3m (No. 225)
Symmetry-distinct sites (fractional):
1 Rb 0.250 0.250 0.250
2 Na 0.000 0.000 0.000
3 Rh 0.000 0.000 0.500
4 F 0.000 0.000 0.266

Results
Energy ... -188.5 eV per cell
Total moment ... 0.02 μB per atom

---

No. 10
# Rb2NaRuF6

A geometry-optimized Rb2NaRuF6 structure (PBEsol, Alexandria via LeMat-Bulk).

Unit cell a=8.482 b=8.482 c=8.482 alpha=90.00 beta=90.00 gamma=90.00
Space group Fm-3m (No. 225)
Symmetry-distinct sites (fractional):
1 Rb 0.250 0.250 0.250
2 Na 0.000 0.000 0.000
3 Ru 0.000 0.000 0.500
4 F 0.000 0.000 0.265

Results
Energy ... -195.9 eV per cell
Total moment ... 0.10 μB per atom

---

No. 11
# Rb2NaSbF6

A geometry-optimized Rb2NaSbF6 structure (PBEsol, Alexandria via LeMat-Bulk).

Unit cell a=8.874 b=8.874 c=8.874 alpha=90.00 beta=90.00 gamma=90.00
Space group Fm-3m (No. 225)
Symmetry-distinct sites (fractional):
1 Rb 0.250 0.250 0.250
2 Na 0.000 0.000 0.000
3 Sb 0.000 0.000 0.500
4 F 0.000 0.000 0.254

Results
Energy ... -183.6 eV per cell
Total moment ... 0.00 μB per atom

---

No. 12
# Rb2NaTiF6

A geometry-optimized Rb2NaTiF6 structure (PBEsol, Alexandria via LeMat-Bulk).

Unit cell a=8.484 b=8.484 c=8.484 alpha=90.00 beta=90.00 gamma=90.00
Space group Fm-3m (No. 225)
Symmetry-distinct sites (fractional):
1 Rb 0.250 0.250 0.250
2 Na 0.000 0.000 0.000
3 Ti 0.000 0.000 0.500
4 F 0.000 0.000 0.267

Results
Energy ... -216.2 eV per cell
Total moment ... 0.10 μB per atom

---

No. 13
# Rb2NaVF6

A geometry-optimized Rb2NaVF6 structure (PBEsol, Alexandria via LeMat-Bulk).

Unit cell a=8.422 b=8.422 c=8.422 alpha=90.00 beta=90.00 gamma=90.00
Space group Fm-3m (No. 225)
Symmetry-distinct sites (fractional):
1 Rb 0.250 0.250 0.250
2 Na 0.000 0.000 0.000
3 V 0.000 0.000 0.500
4 F 0.000 0.000 0.270

Results
Energy ... -214.6 eV per cell
Total moment ... 0.20 μB per atom

---

No. 14
# NaTeRh2F

A geometry-optimized NaTeRh2F structure (PBEsol, Alexandria via LeMat-Bulk).

Unit cell a=4.726 b=4.726 c=3.692 alpha=90.00 beta=90.00 gamma=90.00
Space group P4/mmm (No. 123)
Symmetry-distinct sites (fractional):
1 Na 0.000 0.000 0.000
2 Te 0.500 0.500 0.500
3 Rh 0.000 0.500 0.000
4 F 0.000 0.000 0.500

Results
Energy ... -21.1 eV per cell
Total moment ... 0.00 μB per atom

---

No. 15
# NaSrRu2F

A geometry-optimized NaSrRu2F structure (PBEsol, Alexandria via LeMat-Bulk).

Unit cell a=4.482 b=4.482 c=6.351 alpha=90.00 beta=90.00 gamma=90.00
Space group P4/mmm (No. 123)
Symmetry-distinct sites (fractional):
1 Na 0.000 0.000 0.000
2 Sr 0.000 0.000 0.500
3 Ru 0.000 0.500 0.000
4 F 0.500 0.500 0.500

Results
Energy ... -18.3 eV per cell
Total moment ... 0.77 μB per atom

---

No. 16
# Na3SF

A geometry-optimized Na3SF structure (PBEsol, Alexandria via LeMat-Bulk).

Unit cell a=4.396 b=4.396 c=4.396 alpha=90.00 beta=90.00 gamma=90.00
Space group Pm-3m (No. 221)
Symmetry-distinct sites (fractional):
1 Na 0.000 0.000 0.500
2 S 0.500 0.500 0.500
3 F 0.000 0.000 0.000

Results
Energy ... -18.9 eV per cell
Total moment ... 0.00 μB per atom

---

No. 17
# Na2SbF

A geometry-optimized Na2SbF structure (PBEsol, Alexandria via LeMat-Bulk).

Unit cell a=7.173 b=7.173 c=7.173 alpha=90.00 beta=90.00 gamma=90.00
Space group Fm-3m (No. 225)
Symmetry-distinct sites (fractional):
1 Na 0.250 0.250 0.250
2 Sb 0.000 0.000 0.000
3 F 0.000 0.000 0.500

Results
Energy ... -47.8 eV per cell
Total moment ... 0.50 μB per atom

---

No. 18
# Na2SbF2

A geometry-optimized Na2SbF2 structure (PBEsol, Alexandria via LeMat-Bulk).

Unit cell a=3.973 b=3.973 c=13.471 alpha=90.00 beta=90.00 gamma=90.00
Space group I4/mmm (No. 139)
Symmetry-distinct sites (fractional):
1 Na 0.000 0.500 0.250
2 Sb 0.000 0.000 0.000
3 F 0.000 0.000 0.309

Results
Energy ... -37.5 eV per cell
Total moment ... 0.22 μB per atom

---

No. 19
# NaSbF6

A geometry-optimized NaSbF6 structure (PBEsol, Alexandria via LeMat-Bulk).

Unit cell a=8.351 b=8.351 c=8.351 alpha=90.00 beta=90.00 gamma=90.00
Space group Pa-3 (No. 205)
Symmetry-distinct sites (fractional):
1 Na 0.000 0.000 0.000
2 Sb 0.000 0.000 0.500
3 F 0.002 0.002 0.728

Results
Energy ... -151.5 eV per cell
Total moment ... 0.00 μB per atom